Entry from Alexandria: Ba2FeGe2O7 after structural relaxation (PBE+U).

Structure (POSCAR):
```
Ba2FeGe2O7
1.0
8.6014 0.0000 0.0000
0.0000 8.6014 0.0000
0.0000 0.0000 5.5884
Ba Fe Ge O
4 2 4 14
Direct
0.1662 0.3338 0.0087
0.3338 0.8338 0.9913
0.6662 0.1662 0.9913
0.8338 0.6662 0.0087
0.0000 0.0000 0.5000
0.5000 0.5000 0.5000
0.1388 0.6388 0.5379
0.3612 0.1388 0.4621
0.6388 0.8612 0.4621
0.8612 0.3612 0.5379
0.0000 0.5000 0.6628
0.0794 0.8126 0.6846
0.1364 0.6364 0.2258
0.1874 0.0794 0.3154
0.3126 0.5794 0.6846
0.3636 0.1364 0.7742
0.4206 0.3126 0.3154
0.5000 0.0000 0.3372
0.5794 0.6874 0.3154
0.6364 0.8636 0.7742
0.6874 0.4206 0.6846
0.8126 0.9206 0.3154
0.8636 0.3636 0.2258
0.9206 0.1874 0.6846
```

Energy   -6.62 eV/atom